[1]
VASP calculation (PBE-GGA) on a relaxed structure of InNi2Pb.

## Properties
Crystal system: monoclinic
Distance to the lowest polymorph of the same formula, meV per atom: 61
Energy of formation from the pure elements, kJ per mole of atoms: 11.2
Symmetry: P2/m, No. 10
Electronic total energy, eV per atom: -4.386

Cell lengths 3.2228, 3.2969, 8.0894 Å; angles 55.98, 90.00, 90.00 degrees
With the nearest neighbours (Å) after each atom.
Fractional coordinates of all 4 atoms:
In (0.5000, 0.7500, 0.7500)  8 Ni 2.68-2.69
Ni (0.0000, 0.9665, 0.9550)  4 In 2.68-2.69, 1 Ni 2.75, 2 Pb 2.75
Ni (0.0000, 0.5335, 0.5450)  4 In 2.68-2.69, 1 Ni 2.75, 2 Pb 2.75
Pb (0.5000, 0.2500, 0.2500)  4 Ni 2.75

---

[2]
VASP calculation (PBE-GGA) on a relaxed structure of InNi2Pb.

## Properties
Crystal system: tetragonal
Distance to the lowest polymorph of the same formula, meV per atom: 92
Energy of formation from the pure elements, kJ per mole of atoms: 14.2
Symmetry: P4mm, No. 99
Electronic total energy, eV per atom: -4.355

Cell lengths 3.1987, 3.1987, 7.3675 Å; angles 90.00, 90.00, 90.00 degrees
With the nearest neighbours (Å) after each atom.
Fractional coordinates of all 4 atoms:
In (0.5000, 0.5000, 0.8368)  5 Ni 2.68-2.69
Ni (0.0000, 0.0000, 0.0341)  4 Ni 2.57, 4 In 2.69
Ni (0.5000, 0.5000, 0.2011)  4 Ni 2.57, 1 In 2.68, 4 Pb 2.81
Pb (0.0000, 0.0000, 0.4280)  5 Ni 2.81-2.90

---

[3]
VASP calculation (PBE-GGA) on a relaxed structure of InNiPb.

## Properties
Crystal system: cubic
Distance to the lowest polymorph of the same formula, meV per atom: 2
Energy of formation from the pure elements, kJ per mole of atoms: 0.9
Symmetry: F-43m, No. 216
Electronic total energy, eV per atom: -4.066

Cell lengths 4.5412, 4.5412, 4.5412 Å; angles 60.00, 60.00, 60.00 degrees
With the nearest neighbours (Å) after each atom.
Fractional coordinates of all 3 atoms:
In (0.5000, 0.5000, 0.5000)  4 Ni 2.78
Ni (0.2500, 0.2500, 0.2500)  4 In 2.78, 4 Pb 2.78
Pb (0.0000, 0.0000, 0.0000)  4 Ni 2.78

---

[4]
VASP calculation (PBE-GGA) on a relaxed structure of InNi2Pb.

## Properties
Crystal system: cubic
Distance to the lowest polymorph of the same formula, meV per atom: 387
Energy of formation from the pure elements, kJ per mole of atoms: 42.7
Symmetry: F-43m, No. 216
Electronic total energy, eV per atom: -4.060

Cell lengths 4.6849, 4.6849, 4.6849 Å; angles 60.00, 60.00, 60.00 degrees
With the nearest neighbours (Å) after each atom.
Fractional coordinates of all 4 atoms:
In (0.5000, 0.5000, 0.5000)  4 Pb 2.87, 4 Ni 2.87
Ni (0.0000, 0.0000, 0.0000)  4 Pb 2.87, 4 Ni 2.87
Ni (0.2500, 0.2500, 0.2500)  4 Ni 2.87, 4 In 2.87
Pb (0.7500, 0.7500, 0.7500)  4 In 2.87, 4 Ni 2.87

---

[5]
VASP calculation (PBE-GGA) on a relaxed structure of In3NiPb.

## Properties
Crystal system: cubic
Distance to the lowest polymorph of the same formula, meV per atom: 1067
Energy of formation from the pure elements, kJ per mole of atoms: 107.5
Symmetry: Pm-3m, No. 221
Electronic total energy, eV per atom: -2.427

Cell lengths 5.8235, 5.8235, 5.8235 Å; angles 90.00, 90.00, 90.00 degrees
With the nearest neighbours (Å) after each atom.
Fractional coordinates of all 5 atoms:
Pb (0.0000, 0.0000, 0.0000)  6 In 2.91
Ni (0.5000, 0.5000, 0.5000)  12 In 4.12
In (0.0000, 0.5000, 0.0000)  2 Pb 2.91
In (0.0000, 0.0000, 0.5000)  2 Pb 2.91
In (0.5000, 0.0000, 0.0000)  2 Pb 2.91

---

[6]
VASP calculation (PBE-GGA) on a relaxed structure of InNiPb2.

## Properties
Crystal system: monoclinic
Energy of formation from the pure elements, kJ per mole of atoms: 13.8
Symmetry: C2/m, No. 12
Electronic total energy, eV per atom: -3.842

Cell lengths 3.7341, 3.7341, 8.7364 Å; angles 77.91, 77.91, 59.61 degrees
With the nearest neighbours (Å) after each atom.
Fractional coordinates of all 4 atoms:
In (0.7500, 0.7500, 0.7500)  6 Pb 3.37-3.39, 6 In 3.71-3.73
Ni (0.2500, 0.2500, 0.2500)  6 Pb 2.70
Pb (0.9801, 0.9801, 0.0577)  3 Ni 2.70
Pb (0.5199, 0.5199, 0.4423)  3 Ni 2.70